[1]
The following is a PBEsol calculation of an optimized crystal structure of Tl3InS, from the Alexandria database.

The structure in POSCAR format:
```
Tl3InS
1.0
-2.023 -0.406 5.071
5.075 0.214 2.042
-0.350 5.455 0.297
Tl S In
3 1 1
direct
0.000 0.500 0.000
0.000 0.000 0.500
0.500 0.000 0.000
0.000 0.000 0.000
0.500 0.500 0.500
```

Calculated values
Its uncorrected formation energy is 0.2797 eV per atom.


[2]
The following is a PBEsol calculation of an optimized crystal structure of LiCoSbTe2, from the Alexandria database.

The structure in POSCAR format:
```
LiCoSbTe2
1.0
-3.283 3.059 1.522
-2.957 -1.303 -3.759
-2.008 -3.554 2.812
Sb Te Co Li
1 2 1 1
direct
0.500 0.000 0.000
0.000 0.000 0.500
0.000 0.500 0.000
0.500 0.500 0.500
0.000 0.000 0.000
```

Calculated values
Its uncorrected formation energy is 0.8144 eV per atom.


[3]
The following is a PBEsol calculation of an optimized crystal structure of LaBeAg2Pd, from the Alexandria database.

The structure in POSCAR format:
```
LaBeAg2Pd
1.0
5.004 0.000 0.000
0.000 5.473 0.000
0.000 0.000 5.473
Be Pd Ag La
1 1 2 1
direct
0.500 0.500 0.500
0.500 0.000 0.000
0.000 0.000 0.500
0.000 0.500 0.000
0.000 0.000 0.000
```

Calculated values
Its energy of formation is 1.470 eV/atom.


[4]
The following is a PBEsol calculation of an optimized crystal structure of CeMgAu2, from the Alexandria database.

The structure in POSCAR format:
```
CeMgAu2
1.0
-1.672 4.152 -1.539
-3.287 0.113 -3.404
-4.795 1.279 1.382
Mg Au Ce
1 2 1
direct
0.000 0.000 0.000
0.729 0.729 0.812
0.271 0.271 0.188
0.500 0.500 0.500
```

Calculated values
Its energy of formation is -0.615 eV/atom.


[5]
The following is a PBEsol calculation of an optimized crystal structure of SiTcSbI2, from the Alexandria database.

The structure in POSCAR format:
```
SiTcSbI2
1.0
5.265 0.000 0.000
0.000 5.265 0.000
0.000 0.000 5.391
I Sb Si Tc
2 1 1 1
direct
0.000 0.500 0.000
0.500 0.000 0.000
0.000 0.000 0.500
0.000 0.000 0.000
0.500 0.500 0.500
```

Calculated values
The energy above the most stable polymorph in this dataset comes out at 0.326 eV/atom. Its uncorrected formation energy is 1.2633 eV per atom.


[6]
The following is a PBEsol calculation of an optimized crystal structure of AlTc2Os, from the Alexandria database.

The structure in POSCAR format:
```
AlTc2Os
1.0
-3.872 0.781 -1.651
-1.623 -2.610 -2.980
-3.293 -2.560 0.962
Os Tc Al
1 2 1
direct
0.250 0.250 0.250
0.000 0.000 0.000
0.750 0.750 0.750
0.500 0.500 0.500
```

Calculated values
Its energy of formation is -0.075 eV/atom.


[7]
The following is a PBEsol calculation of an optimized crystal structure of Rb3BiH, from the Alexandria database.

The structure in POSCAR format:
```
Rb3BiH
1.0
5.676 0.000 0.000
0.000 5.676 0.000
0.000 0.000 5.676
H Bi Rb
1 1 3
direct
0.000 0.000 0.000
0.500 0.500 0.500
0.000 0.500 0.000
0.000 0.000 0.500
0.500 0.000 0.000
```


[8]
The following is a PBEsol calculation of an optimized crystal structure of SrZn2Ag, from the Alexandria database.

The structure in POSCAR format:
```
SrZn2Ag
1.0
-2.389 0.065 -2.472
0.049 -3.435 -0.137
-5.064 -0.267 4.887
Ag Sr Zn
1 1 2
direct
0.000 0.000 0.562
0.500 0.500 0.246
0.000 0.000 0.939
0.500 0.500 0.752
```

Calculated values
Its energy of formation is -0.036 eV/atom.


Number 1: electronic total energy -13.859 eV for the cell shown, magnetization 0.00 μB per formula unit. Number 2: electronic total energy -17.241 eV for the cell shown, magnetization 2.00 μB per formula unit. Number 3: electronic total energy -14.579 eV for the cell shown, magnetization 0.00 μB per formula unit. Number 4: electronic total energy -18.623 eV for the cell shown, magnetization 0.57 μB per formula unit. Number 5: electronic total energy -18.788 eV for the cell shown, magnetization 4.45 μB per formula unit. Number 6: electronic total energy -39.141 eV for the cell shown, magnetization 0.00 μB per formula unit. Number 7: electronic total energy -11.658 eV for the cell shown, magnetization 1.02 μB per formula unit. Number 8: electronic total energy -8.457 eV for the cell shown, magnetization 0.00 μB per formula unit.